[1]
Below is a relaxed TlTc2Hg crystal, with properties calculated at the GGA-PBE level.

Lattice parameters (Å, degrees): 9.3339 9.3339 9.3339 18.60 18.60 18.60
Sites, in units of the cell vectors:
Hg1 0.7500 0.7500 0.7500
Tc1 0.0001 0.0001 0.0001
Tc2 0.4999 0.4999 0.4999
Tl1 0.2500 0.2500 0.2500

distance to the lowest polymorph of the same formula: 499 meV per atom
symmetry: R-3m
calculated formation energy: 0.80 eV per atom

***

[2]
Below is a relaxed Tl2TcHg crystal, with properties calculated at the GGA-PBE level.

Lattice parameters (Å, degrees): 4.3933 3.6646 5.9266 71.91 90.00 90.00
Sites, in units of the cell vectors:
Hg1 0.0000 0.6956 0.4837
Tc1 0.5000 0.5411 0.7938
Tl1 0.0000 0.9767 0.9212
Tl2 0.5000 0.2866 0.3013

distance to the lowest polymorph of the same formula: 114 meV per atom
symmetry: Pm
calculated formation energy: 0.60 eV per atom

***

[3]
Below is a relaxed Tl2TcHg crystal, with properties calculated at the GGA-PBE level.

Lattice parameters (Å, degrees): 4.3694 4.3694 10.6268 78.14 78.14 90.00
Sites, in units of the cell vectors:
Tl1 0.6052 0.1250 0.2500
Tl2 0.1448 0.6250 0.2500
Tl3 0.3750 0.3948 0.7500
Tl4 0.8750 0.8552 0.7500
Hg1 0.0000 0.0000 0.0000
Hg2 0.7500 0.2500 0.5000
Tc1 0.5000 0.5000 0.0000
Tc2 0.2500 0.7500 0.5000

distance to the lowest polymorph of the same formula: 319 meV per atom
symmetry: I-42d
calculated formation energy: 0.81 eV per atom

***

[4]
Below is a relaxed TlTcHg2 crystal, with properties calculated at the GGA-PBE level.

Lattice parameters (Å, degrees): 4.5443 3.3232 5.9875 73.98 90.00 90.00
Sites, in units of the cell vectors:
Hg1 0.0000 0.0397 0.0430
Hg2 0.5000 0.4471 0.2308
Tc1 0.0000 0.2926 0.5407
Tl1 0.5000 0.7206 0.6854

distance to the lowest polymorph of the same formula: 129 meV per atom
symmetry: Pm
calculated formation energy: 0.60 eV per atom

***

[5]
Below is a relaxed TlTcHg2 crystal, with properties calculated at the GGA-PBE level.

Lattice parameters (Å, degrees): 3.1137 3.1137 10.3868 90.00 90.00 117.96
Sites, in units of the cell vectors:
Hg1 0.0000 0.0000 0.0081
Hg2 0.5000 0.5000 0.2724
Tc1 0.0000 0.0000 0.4945
Tl1 0.5000 0.5000 0.7250

distance to the lowest polymorph of the same formula: 129 meV per atom
symmetry: Cmm2
calculated formation energy: 0.60 eV per atom

***

[6]
Below is a relaxed Tl3TcHg crystal, with properties calculated at the GGA-PBE level.

Lattice parameters (Å, degrees): 5.3664 5.3664 5.3664 90.00 90.00 90.00
Sites, in units of the cell vectors:
Tl1 0.0000 0.5000 0.0000
Tl2 0.0000 0.0000 0.5000
Tl3 0.5000 0.0000 0.0000
Hg1 0.5000 0.5000 0.5000
Tc1 0.0000 0.0000 0.0000

distance to the lowest polymorph of the same formula: 0 meV per atom
symmetry: Pm-3m
calculated formation energy: 0.37 eV per atom

***

[7]
Below is a relaxed Tl2TcHg crystal, with properties calculated at the GGA-PBE level.

Lattice parameters (Å, degrees): 3.6959 3.6959 6.3622 90.00 90.00 90.00
Sites, in units of the cell vectors:
Hg1 0.5000 0.5000 0.2500
Tc1 0.5000 0.5000 0.7500
Tl1 0.0000 0.0000 0.9801
Tl2 0.0000 0.0000 0.5199

distance to the lowest polymorph of the same formula: 154 meV per atom
symmetry: P4/mmm
calculated formation energy: 0.64 eV per atom

***

[8]
Below is a relaxed TlTc2Hg crystal, with properties calculated at the GGA-PBE level.

Lattice parameters (Å, degrees): 4.6603 4.6603 4.6603 60.00 60.00 60.00
Sites, in units of the cell vectors:
Tl1 0.5000 0.5000 0.5000
Hg1 0.0000 0.0000 0.0000
Tc1 0.2500 0.2500 0.2500
Tc2 0.7500 0.7500 0.7500

distance to the lowest polymorph of the same formula: 588 meV per atom
symmetry: Fm-3m
calculated formation energy: 0.89 eV per atom

***

[9]
Below is a relaxed TlTcHg2 crystal, with properties calculated at the GGA-PBE level.

Lattice parameters (Å, degrees): 7.2391 7.2391 4.7518 70.82 70.82 23.55
Sites, in units of the cell vectors:
Hg1 0.0652 0.0652 0.9358
Hg2 0.4348 0.4348 0.5642
Tc1 0.7500 0.7500 0.7500
Tl1 0.2500 0.2500 0.2500

distance to the lowest polymorph of the same formula: 0 meV per atom
symmetry: Immm
calculated formation energy: 0.48 eV per atom

***

[10]
Below is a relaxed Tl2TcHg crystal, with properties calculated at the GGA-PBE level.

Lattice parameters (Å, degrees): 5.7014 5.7014 5.7014 136.71 136.71 62.88
Sites, in units of the cell vectors:
Hg1 0.5000 0.5000 0.0000
Tc1 0.7500 0.2500 0.5000
Tl1 0.0000 0.0000 0.0000
Tl2 0.2500 0.7500 0.5000

distance to the lowest polymorph of the same formula: 172 meV per atom
symmetry: I-4m2
calculated formation energy: 0.66 eV per atom

***

[11]
Below is a relaxed TlTc2Hg crystal, with properties calculated at the GGA-PBE level.

Lattice parameters (Å, degrees): 7.6391 7.6391 6.0724 51.02 51.02 90.00
Sites, in units of the cell vectors:
Tl1 0.0000 0.0000 0.0000
Tl2 0.7500 0.2500 0.5000
Hg1 0.5000 0.5000 0.0000
Hg2 0.2500 0.7500 0.5000
Tc1 0.6250 0.1250 0.2500
Tc2 0.1250 0.6250 0.2500
Tc3 0.3750 0.3750 0.7500
Tc4 0.8750 0.8750 0.7500

distance to the lowest polymorph of the same formula: 904 meV per atom
symmetry: I-42d
calculated formation energy: 1.20 eV per atom

***

[12]
Below is a relaxed TlTcHg2 crystal, with properties calculated at the GGA-PBE level.

Lattice parameters (Å, degrees): 7.4177 7.4177 7.4177 157.33 141.93 44.77
Sites, in units of the cell vectors:
Hg1 0.0041 0.0041 0.0000
Hg2 0.6770 0.1770 0.5000
Tc1 0.4992 0.4992 0.0000
Tl1 0.3197 0.8197 0.5000

distance to the lowest polymorph of the same formula: 18 meV per atom
symmetry: Imm2
calculated formation energy: 0.49 eV per atom